This record from Alexandria via LeMat-Bulk describes crystalline CsZrRh3 at its relaxed geometry. The functional is PBE.

ΔE_f ... 3.60 eV per formula unit
Offset from the most stable computed form ... 0.00 eV per formula unit
Volume ... 126.6 Å³/cell
E ... -5.5705 eV per atom
Calculated density ... 6.991 Mg/m³

Unit cell a=5.0207 b=5.0207 c=5.0207 alpha=90.00 beta=90.00 gamma=90.00
Last column: nearest neighbours and their distance in Å.
Space group Pm-3m (No. 221)
Asymmetric unit:
Cs (0.0000, 0.0000, 0.0000) x1  12 Rh 3.55
Zr (0.5000, 0.5000, 0.5000) x1  6 Rh 2.51
Rh (0.0000, 0.5000, 0.5000) x3  2 Zr 2.51